Material: Gd2In8Pd
Method: DFT, PBE
State: relaxed

```
Gd2In8Pd
1.0
-3.790 -2.780 -0.239
0.649 -0.485 -4.636
7.009 -9.730 1.999
Gd In Pd
2 8 1
Direct
0.000 0.000 0.311
0.000 0.000 0.689
0.500 0.000 0.126
0.000 0.500 0.126
0.500 0.500 0.309
0.500 0.000 0.500
0.000 0.500 0.500
0.500 0.500 0.691
0.500 0.000 0.874
0.000 0.500 0.874
0.000 0.000 0.000
```

Summary:
symmetry = No. 123
uncorrected energy = -41.12 eV/cell

=====

Material: Gd3In4Pd2
Method: DFT, PBE
State: relaxed

```
Gd3In4Pd2
1.0
7.896 0.000 0.000
-3.948 6.838 0.000
0.000 0.000 3.901
Gd In Pd
3 4 2
Direct
0.612 0.025 0.000
0.414 0.388 0.000
0.975 0.586 0.000
0.256 0.001 0.500
0.999 0.255 0.500
0.333 0.667 0.500
0.745 0.744 0.500
0.000 0.000 0.000
0.667 0.333 0.500
```

Summary:
symmetry = No. 174
uncorrected energy = -41.67 eV/cell

=====

Material: PrGdIn4Pd2
Method: DFT, PBE
State: relaxed

```
PrGdIn4Pd2
1.0
4.609 0.000 0.000
0.000 7.472 0.000
-2.289 0.000 5.374
Gd In Pd Pr
1 4 2 1
Direct
0.423 0.000 0.846
0.137 0.198 0.276
0.137 0.802 0.276
0.864 0.297 0.726
0.864 0.703 0.726
0.705 0.000 0.413
0.294 0.500 0.586
0.576 0.500 0.152
```

Summary:
symmetry = No. 6
uncorrected energy = -35.95 eV/cell

=====

Material: Gd2In2PdPt3
Method: DFT, PBE
State: relaxed

```
Gd2In2PdPt3
1.0
4.608 0.000 0.000
-2.304 3.991 0.000
0.000 0.000 9.062
Gd In Pd Pt
2 2 1 3
Direct
0.000 0.000 0.252
0.333 0.667 0.746
0.667 0.333 0.001
0.667 0.333 0.501
0.000 0.000 0.912
0.333 0.667 0.087
0.333 0.667 0.408
0.000 0.000 0.593
```

Summary:
symmetry = No. 156
uncorrected energy = -45.59 eV/cell

=====

Material: Gd3In3Pd2Pt
Method: DFT, PBE
State: relaxed

```
Gd3In3Pd2Pt
1.0
7.653 0.000 0.000
-3.826 6.628 0.000
0.000 0.000 3.984
Gd In Pd Pt
3 3 2 1
Direct
0.595 0.000 0.500
0.405 0.405 0.500
0.000 0.595 0.500
0.258 0.000 0.000
0.000 0.258 0.000
0.742 0.742 0.000
0.667 0.333 0.000
0.333 0.667 0.000
0.000 0.000 0.500
```

Summary:
symmetry = No. 189
uncorrected energy = -46.32 eV/cell

=====

Material: Tb2GdIn3PdPt2
Method: DFT, PBE
State: relaxed

```
Tb2GdIn3PdPt2
1.0
3.859 0.000 0.000
0.000 6.699 3.863
0.000 -6.699 3.863
Gd In Pd Pt Tb
1 3 1 2 2
Direct
0.000 0.410 0.410
0.500 0.000 0.258
0.500 0.742 0.742
0.500 0.258 0.000
0.000 0.000 0.000
0.500 0.667 0.333
0.500 0.333 0.667
0.000 0.590 0.000
0.000 0.000 0.590
```

Summary:
symmetry = No. 38
uncorrected energy = -48.03 eV/cell

=====

Material: TbGd2In3PdPt2
Method: DFT, PBE
State: relaxed

```
TbGd2In3PdPt2
1.0
-2.153 0.948 3.069
-5.275 -5.258 -2.078
5.807 -2.007 4.695
Gd In Pd Pt Tb
2 3 1 2 1
Direct
0.000 0.410 0.000
0.000 0.000 0.410
0.500 0.258 0.258
0.500 0.000 0.742
0.500 0.742 0.000
0.000 0.000 0.000
0.500 0.666 0.334
0.500 0.334 0.666
0.000 0.589 0.589
```

Summary:
symmetry = No. 38
uncorrected energy = -48.04 eV/cell

=====

Material: Gd2YIn3PdPt2
Method: DFT, PBE
State: relaxed

```
Gd2YIn3PdPt2
1.0
-0.539 -0.750 3.752
7.295 -2.503 0.548
-1.632 7.453 1.255
Gd In Pd Pt Y
2 3 1 2 1
Direct
0.000 0.000 0.411
0.000 0.411 0.000
0.500 0.259 0.259
0.500 0.998 0.742
0.500 0.742 0.998
0.000 0.001 0.001
0.500 0.667 0.332
0.500 0.332 0.667
0.000 0.590 0.590
```

Summary:
symmetry = No. 38
uncorrected energy = -49.89 eV/cell